Record 1
CeDyPa2Ir4, optimized geometry, DFT GGA-PBE; DOS at the Fermi energy = 5.41 states/eV/f.u.; electronic total energy = -8.9124 eV per atom; M_tot = 0.00 μB/cell; space-group type = Fmm2
1.0
0.000 5.569 4.163
3.853 0.000 4.163
3.853 5.569 0.000
Ce Dy Pa Ir
1 1 2 4
Cartesian
0.000 0.000 0.000
3.853 5.569 3.540
1.927 2.784 2.213
5.780 8.353 6.375
3.853 2.862 4.308
5.396 5.569 6.000
3.853 8.275 4.308
2.310 5.569 6.000

***

Record 2
Hf3H5, optimized geometry, DFT GGA-PBE; DOS at the Fermi energy = 4.25 states/eV/f.u.; electronic total energy = -6.0817 eV per atom; M_tot = 0.00 μB/cell; space-group type = Cmcm
1.0
4.701 -2.638 0.000
4.701 2.638 0.000
0.000 0.000 6.026
Hf H
6 10
Cartesian
4.701 2.549 4.520
3.083 0.000 0.000
3.083 0.000 3.013
6.318 0.000 0.000
6.318 0.000 3.013
4.701 -2.549 1.507
2.911 1.611 1.507
4.701 1.287 0.155
4.701 1.287 2.858
6.491 1.611 1.507
4.701 0.468 4.520
4.701 -0.468 1.507
2.911 -1.611 4.520
4.701 -1.287 3.168
4.701 -1.287 5.871
6.491 -1.611 4.520

***

Record 3
SiPOs2, optimized geometry, DFT GGA-PBE; DOS at the Fermi energy = 1.77 states/eV/f.u.; electronic total energy = -8.4874 eV per atom; E_form (uncorrected) = -164 meV per atom; offset from the most stable computed form = 0 meV/atom; M_tot = 0.00 μB/cell; space-group type = Cm
1.0
4.192 -1.485 0.000
4.192 1.485 0.000
-1.117 0.000 4.306
Si P Os
1 1 2
Cartesian
0.000 0.000 0.000
1.281 0.000 2.863
3.627 0.000 2.255
6.069 0.000 0.457

***

Record 4
ScCdOs2Pb, optimized geometry, DFT GGA-PBE; DOS at the Fermi energy = 6.53 states/eV/f.u.; electronic total energy = -4.7559 eV per atom; M_tot = 0.66 μB/cell; space-group type = P4/mmm
1.0
4.944 0.000 0.000
0.000 4.944 0.000
0.000 0.000 5.126
Sc Cd Os Pb
1 1 2 1
Cartesian
0.000 0.000 0.000
2.472 2.472 2.563
0.000 2.472 2.563
2.472 0.000 2.563
2.472 2.472 0.000